Entry from Alexandria via LeMat-Bulk: crystalline Y4Co3B6 at its relaxed geometry (GGA-PBE).

Lattice parameters (Å, degrees): 7.940 7.940 7.940 39.15 39.15 39.15
Fractional positions:
Y: 0.089 0.089 0.089
Y: 0.245 0.245 0.245
Y: 0.755 0.755 0.755
Y: 0.911 0.911 0.911
Co: 0.387 0.387 0.387
Co: 0.500 0.500 0.500
Co: 0.613 0.613 0.613
B: 0.000 0.332 0.668
B: 0.000 0.668 0.332
B: 0.332 0.000 0.668
B: 0.332 0.668 0.000
B: 0.668 0.000 0.332
B: 0.668 0.332 0.000

Calculated values
- V: 13.81 A^3/atom
- N(E_F): 0.3264 states/eV per atom
- Calculated formation energy: -8.85 kcal/mol of atoms
- Symmetry: No. 166

=====

Entry from Alexandria via LeMat-Bulk: crystalline YCo3B2 at its relaxed geometry (GGA-PBE).

Lattice parameters (Å, degrees): 5.347 5.347 4.831 90.00 90.00 78.72
Fractional positions:
Y: 0.151 0.849 0.750
Y: 0.849 0.151 0.250
Co: 0.002 0.581 0.250
Co: 0.419 0.998 0.250
Co: 0.456 0.544 0.250
Co: 0.544 0.456 0.750
Co: 0.581 0.002 0.750
Co: 0.998 0.419 0.750
B: 0.293 0.293 0.000
B: 0.293 0.293 0.500
B: 0.707 0.707 0.000
B: 0.707 0.707 0.500

Calculated values
- V: 11.29 A^3/atom
- N(E_F): 0.7669 states/eV per atom
- Calculated formation energy: -5.17 kcal/mol of atoms
- Offset from the most stable computed form: 257 meV/atom
- Symmetry: No. 63

=====

Entry from Alexandria via LeMat-Bulk: crystalline Y2Co3B2 at its relaxed geometry (GGA-PBE).

Lattice parameters (Å, degrees): 9.720 3.367 6.380 90.00 115.33 90.00
Fractional positions:
Y: 0.130 0.000 0.270
Y: 0.370 0.500 0.730
Y: 0.630 0.500 0.270
Y: 0.870 0.000 0.730
Co: 0.000 0.500 0.500
Co: 0.148 0.500 0.927
Co: 0.352 0.000 0.073
Co: 0.500 0.000 0.500
Co: 0.648 0.000 0.927
Co: 0.852 0.500 0.073
B: 0.145 0.000 0.746
B: 0.355 0.500 0.254
B: 0.645 0.500 0.746
B: 0.855 0.000 0.254

Calculated values
- V: 13.48 A^3/atom
- N(E_F): 0.9803 states/eV per atom
- Calculated formation energy: -6.26 kcal/mol of atoms
- Symmetry: No. 12

=====

Entry from Alexandria via LeMat-Bulk: crystalline YCoB4 at its relaxed geometry (GGA-PBE).

Lattice parameters (Å, degrees): 5.900 11.424 3.386 90.00 90.00 90.00
Fractional positions:
Y: 0.128 0.150 0.000
Y: 0.372 0.650 0.000
Y: 0.628 0.350 0.000
Y: 0.872 0.850 0.000
Co: 0.135 0.411 0.000
Co: 0.365 0.911 0.000
Co: 0.635 0.089 0.000
Co: 0.865 0.589 0.000
B: 0.022 0.691 0.500
B: 0.111 0.546 0.500
B: 0.139 0.968 0.500
B: 0.218 0.816 0.500
B: 0.282 0.316 0.500
B: 0.361 0.468 0.500
B: 0.389 0.046 0.500
B: 0.478 0.191 0.500
B: 0.522 0.809 0.500
B: 0.611 0.954 0.500
B: 0.639 0.532 0.500
B: 0.718 0.684 0.500
B: 0.782 0.184 0.500
B: 0.861 0.032 0.500
B: 0.889 0.454 0.500
B: 0.978 0.309 0.500

Calculated values
- V: 9.51 A^3/atom
- N(E_F): 0.3352 states/eV per atom
- Calculated formation energy: -13.39 kcal/mol of atoms
- Symmetry: No. 55